# SrMoWO2 GGA+U relaxed
data_SrMoWO2
_symmetry_space_group_name_H-M 'P 4/m m m'
_symmetry_Int_Tables_number 123
_symmetry_space_group_name_Hall '-P 4 2'
_cell_length_a 4.059
_cell_length_b 4.059
_cell_length_c 6.878
_cell_angle_alpha 90.00
_cell_angle_beta 90.00
_cell_angle_gamma 90.00
loop_
_atom_site_label
_atom_site_type_symbol
_atom_site_fract_x
_atom_site_fract_y
_atom_site_fract_z
_atom_site_occupancy
Sr1 Sr 0.000 0.000 0.000 1
Mo1 Mo 0.500 0.500 0.000 1
W1 W 0.000 0.000 0.500 1
O1 O 0.000 0.500 0.500 1
# * energy: -5.112 eV/atom
# * theoretical density: 5.9 g/cm³
# * energy above the lowest structure with this stoichiometry: 1.941 eV per formula unit
# * total moment: 5.7 Bohr magnetons per cell